(1)
YTi2Pt2 (PBE, optimized geometry); density of states at the Fermi level = 1.204 states/eV per atom; energy of formation from the pure elements = -54.35 kJ/mol of atoms; polymorph energy (0 for the lowest one) = 331 meV/atom; calculated total energy = -37.15 eV for the cell shown
1.0
-2.356 2.356 4.651
2.356 -2.356 4.651
2.356 2.356 -4.651
Y Ti Pt
1 2 2
direct
0.000 0.000 0.000
0.356 0.356 0.000
0.644 0.644 0.000
0.250 0.750 0.500
0.750 0.250 0.500

=====

(2)
Hf2W2C (PBE, optimized geometry); density of states at the Fermi level = 1.093 states/eV per atom; energy of formation from the pure elements = 220.17 kJ/mol of atoms; polymorph energy (0 for the lowest one) = 1957 meV/atom; calculated total energy = -43.63 eV for the cell shown
1.0
-1.843 1.843 6.911
1.843 -1.843 6.911
1.843 1.843 -6.911
Hf W C
2 2 1
direct
0.250 0.750 0.500
0.750 0.250 0.500
0.086 0.086 0.000
0.914 0.914 0.000
0.500 0.500 0.000

=====

(3)
SrHgH2 (PBE, optimized geometry); density of states at the Fermi level = 0.004 states/eV per atom; polymorph energy (0 for the lowest one) = 0 meV/atom; calculated total energy = -9.79 eV for the cell shown
1.0
1.995 1.152 5.860
-1.995 1.152 5.860
0.000 -2.304 5.860
Sr Hg H
1 1 2
direct
0.000 0.000 0.000
0.500 0.500 0.500
0.284 0.284 0.284
0.716 0.716 0.716

=====

(4)
Cs3Si5I12 (PBE, optimized geometry); density of states at the Fermi level = 0.328 states/eV per atom; calculated total energy = -222.78 eV for the cell shown
1.0
-9.796 9.796 9.796
9.796 -9.796 9.796
9.796 9.796 -9.796
Cs Si I
12 20 48
direct
0.125 0.250 0.375
0.125 0.375 0.750
0.250 0.375 0.125
0.250 0.875 0.625
0.375 0.125 0.250
0.375 0.750 0.125
0.625 0.250 0.875
0.625 0.875 0.750
0.750 0.125 0.375
0.750 0.625 0.875
0.875 0.625 0.250
0.875 0.750 0.625
0.000 0.000 0.000
0.000 0.000 0.500
0.000 0.500 0.000
0.000 0.500 0.500
0.125 0.750 0.875
0.125 0.875 0.250
0.250 0.125 0.875
0.250 0.625 0.375
0.375 0.250 0.625
0.375 0.625 0.750
0.500 0.000 0.000
0.500 0.000 0.500
0.500 0.500 0.000
0.500 0.500 0.500
0.625 0.375 0.250
0.625 0.750 0.375
0.750 0.375 0.625
0.750 0.875 0.125
0.875 0.125 0.750
0.875 0.250 0.125
0.005 0.185 0.104
0.005 0.320 0.900
0.080 0.685 0.680
0.080 0.896 0.400
0.100 0.604 0.420
0.100 0.995 0.680
0.104 0.005 0.185
0.104 0.600 0.920
0.180 0.185 0.580
0.180 0.495 0.600
0.185 0.104 0.005
0.185 0.580 0.180
0.315 0.320 0.920
0.315 0.495 0.396
0.320 0.900 0.005
0.320 0.920 0.315
0.396 0.315 0.495
0.396 0.580 0.900
0.400 0.080 0.896
0.400 0.820 0.505
0.420 0.100 0.604
0.420 0.820 0.815
0.495 0.396 0.315
0.495 0.600 0.180
0.505 0.400 0.820
0.505 0.604 0.685
0.580 0.180 0.185
0.580 0.900 0.396
0.600 0.180 0.495
0.600 0.920 0.104
0.604 0.420 0.100
0.604 0.685 0.505
0.680 0.080 0.685
0.680 0.100 0.995
0.685 0.505 0.604
0.685 0.680 0.080
0.815 0.420 0.820
0.815 0.896 0.995
0.820 0.505 0.400
0.820 0.815 0.420
0.896 0.400 0.080
0.896 0.995 0.815
0.900 0.005 0.320
0.900 0.396 0.580
0.920 0.104 0.600
0.920 0.315 0.320
0.995 0.680 0.100
0.995 0.815 0.896

=====

(5)
Nd7IrI12 (PBE, optimized geometry); density of states at the Fermi level = 0.654 states/eV per atom; calculated total energy = -86.80 eV for the cell shown
1.0
8.089 4.670 3.741
-8.089 4.670 3.741
0.000 -9.340 3.741
Nd Ir I
7 1 12
direct
0.000 0.000 0.000
0.198 0.401 0.475
0.401 0.475 0.198
0.475 0.198 0.401
0.525 0.802 0.599
0.599 0.525 0.802
0.802 0.599 0.525
0.500 0.500 0.500
0.034 0.340 0.114
0.114 0.034 0.340
0.180 0.725 0.573
0.275 0.427 0.820
0.340 0.114 0.034
0.427 0.820 0.275
0.573 0.180 0.725
0.660 0.886 0.966
0.725 0.573 0.180
0.820 0.275 0.427
0.886 0.966 0.660
0.966 0.660 0.886

=====

(6)
AcPr3Hg4 (PBE, optimized geometry); density of states at the Fermi level = 1.066 states/eV per atom; energy of formation from the pure elements = -44.92 kJ/mol of atoms; calculated total energy = -46.76 eV for the cell shown
1.0
11.040 0.000 0.000
0.000 7.864 0.000
0.000 0.000 5.518
Ac Pr Hg
2 6 8
direct
0.000 0.000 0.000
0.500 0.000 0.000
0.000 0.500 0.000
0.250 0.000 0.500
0.250 0.500 0.499
0.500 0.500 0.000
0.750 0.000 0.500
0.750 0.500 0.501
0.000 0.260 0.500
0.000 0.740 0.500
0.250 0.259 0.999
0.250 0.741 0.999
0.500 0.260 0.500
0.500 0.740 0.500
0.750 0.259 0.001
0.750 0.741 0.001

=====

(7)
PmErSn4 (PBE, optimized geometry); density of states at the Fermi level = 0.358 states/eV per atom; energy of formation from the pure elements = -37.47 kJ/mol of atoms; calculated total energy = -27.65 eV for the cell shown
1.0
3.102 -4.832 0.000
3.102 4.832 0.000
0.000 0.000 6.218
Pm Er Sn
1 1 4
direct
0.000 0.000 0.000
0.500 0.500 0.500
0.000 0.500 0.254
0.000 0.500 0.746
0.500 0.000 0.254
0.500 0.000 0.746

=====

(8)
InMo3I (PBE, optimized geometry); density of states at the Fermi level = 0.999 states/eV per atom; polymorph energy (0 for the lowest one) = 0 meV/atom; calculated total energy = -27.35 eV for the cell shown
1.0
4.879 0.000 0.000
0.000 4.879 0.000
0.000 0.000 4.879
In Mo I
1 3 1
direct
0.000 0.000 0.000
0.000 0.500 0.500
0.500 0.000 0.500
0.500 0.500 0.000
0.500 0.500 0.500